(1)
# KBaBP2O8 | Alexandria | PBE-GGA | relaxed
data_KBaBP2O8
_chemical_formula_sum 'K4 Ba4 B4 P8 O32'
_cell_length_a 10.309
_cell_length_b 10.302
_cell_length_c 8.807
_cell_angle_alpha 90.00
_cell_angle_beta 124.18
_cell_angle_gamma 90.00
_space_group_name_H-M_alt 'C 1 c 1'
_space_group_IT_number 9
loop_
_space_group_symop_operation_xyz
'x,y,z'
'x,-y,z+1/2'
'x+1/2,y+1/2,z'
'x+1/2,-y+1/2,z+1/2'
loop_
_atom_site_label
_atom_site_type_symbol
_atom_site_fract_x
_atom_site_fract_y
_atom_site_fract_z
K1 K 0.000 0.075 0.000
Ba1 Ba 0.111 0.311 0.497
B1 B 0.425 0.135 0.243
P1 P 0.248 0.329 0.988
P2 P 0.352 0.072 0.498
O1 O 0.070 0.287 0.847
O2 O 0.176 0.065 0.407
O3 O 0.265 0.466 0.059
O4 O 0.295 0.228 0.147
O5 O 0.336 0.305 0.897
O6 O 0.397 0.049 0.354
O7 O 0.422 0.197 0.609
O8 O 0.444 0.051 0.121
# DOS at the Fermi energy = 0.0000 states/eV/atom
# ΔE_f (raw) = -2.54 eV/atom
# Size of the total moment = 0.0 μB per formula unit
# Calculated volume = 774 Å³/cell
# Calculated total energy = -0.527 Ry per atom

(2)
# YTa2Ag | Alexandria | PBE-GGA | relaxed
data_YTa2Ag
_chemical_formula_sum 'Y2 Ta4 Ag2'
_cell_length_a 3.173
_cell_length_b 5.320
_cell_length_c 9.993
_cell_angle_alpha 90.00
_cell_angle_beta 90.00
_cell_angle_gamma 90.00
_space_group_name_H-M_alt 'I m m 2'
_space_group_IT_number 44
loop_
_space_group_symop_operation_xyz
'x,y,z'
'-x,-y,z'
'-x,y,z'
'x,-y,z'
'x+1/2,y+1/2,z+1/2'
'-x+1/2,-y+1/2,z+1/2'
'-x+1/2,y+1/2,z+1/2'
'x+1/2,-y+1/2,z+1/2'
loop_
_atom_site_label
_atom_site_type_symbol
_atom_site_fract_x
_atom_site_fract_y
_atom_site_fract_z
Y1 Y 0.000 0.000 0.000
Ta1 Ta 0.000 0.000 0.501
Ta2 Ta 0.000 0.500 0.222
Ag1 Ag 0.000 0.500 0.763
# DOS at the Fermi energy = 0.8227 states/eV/atom
# ΔH_f (0 K) = 0.44 eV per atom
# Size of the total moment = 0.0 μB per formula unit
# Calculated volume = 169 Å³/cell
# Calculated total energy = -0.575 Ry per atom

(3)
# BaNbZn2Cl | Alexandria | PBE-GGA | relaxed
data_BaNbZn2Cl
_chemical_formula_sum 'Ba1 Nb1 Zn2 Cl1'
_cell_length_a 5.135
_cell_length_b 5.135
_cell_length_c 6.798
_cell_angle_alpha 90.00
_cell_angle_beta 90.00
_cell_angle_gamma 90.00
_space_group_name_H-M_alt 'P 4/m m m'
_space_group_IT_number 123
_space_group_name_Hall '-P 4 2'
loop_
_atom_site_label
_atom_site_type_symbol
_atom_site_fract_x
_atom_site_fract_y
_atom_site_fract_z
Ba1 Ba 0.000 0.000 0.000
Nb1 Nb 0.000 0.000 0.500
Zn1 Zn 0.000 0.500 0.500
Cl1 Cl 0.500 0.500 0.000
# DOS at the Fermi energy = 0.9366 states/eV/atom
# ΔE_f (raw) = 0.29 eV/atom
# Size of the total moment = 4.0 μB per formula unit
# Calculated volume = 179 Å³/cell
# Calculated total energy = -0.220 Ry per atom

(4)
# DyAlCo4 | Alexandria | PBE-GGA | relaxed
data_DyAlCo4
_chemical_formula_sum 'Dy2 Al2 Co8'
_cell_length_a 4.908
_cell_length_b 8.685
_cell_length_c 4.017
_cell_angle_alpha 90.00
_cell_angle_beta 90.00
_cell_angle_gamma 90.00
_space_group_name_H-M_alt 'C m m m'
_space_group_IT_number 65
_space_group_name_Hall '-C 2 2'
loop_
_atom_site_label
_atom_site_type_symbol
_atom_site_fract_x
_atom_site_fract_y
_atom_site_fract_z
Dy1 Dy 0.000 0.000 0.000
Al1 Al 0.000 0.500 0.500
Co1 Co 0.000 0.318 0.000
Co2 Co 0.250 0.250 0.500
# DOS at the Fermi energy = 1.7134 states/eV/atom
# ΔH_f (0 K) = -0.25 eV per atom
# Size of the total moment = 4.4 μB per formula unit
# Calculated volume = 171 Å³/cell
# Calculated total energy = -0.469 Ry per atom

(5)
# La3Tm12Ga5 | Alexandria | PBE-GGA | relaxed
data_La3Tm12Ga5
_chemical_formula_sum 'La24 Tm96 Ga40'
_cell_length_a 17.649
_cell_length_b 17.649
_cell_length_c 17.649
_cell_angle_alpha 90.00
_cell_angle_beta 90.00
_cell_angle_gamma 90.00
_space_group_name_H-M_alt 'I a -3 d'
_space_group_IT_number 230
_space_group_name_Hall '-I 4bd 2c 3'
loop_
_atom_site_label
_atom_site_type_symbol
_atom_site_fract_x
_atom_site_fract_y
_atom_site_fract_z
La1 La 0.000 0.250 0.125
Tm1 Tm 0.040 0.065 0.639
Ga1 Ga 0.000 0.000 0.000
Ga2 Ga 0.000 0.250 0.375
# DOS at the Fermi energy = 1.1717 states/eV/atom
# ΔH_f (0 K) = 0.40 eV per atom
# Size of the total moment = 0.0 μB per formula unit
# Calculated volume = 5497 Å³/cell
# Calculated total energy = -0.278 Ry per atom

(6)
# LaMg2Ni | Alexandria | PBE-GGA | relaxed
data_LaMg2Ni
_chemical_formula_sum 'La2 Mg4 Ni2'
_cell_length_a 4.677
_cell_length_b 4.677
_cell_length_c 8.030
_cell_angle_alpha 90.00
_cell_angle_beta 90.00
_cell_angle_gamma 90.00
_space_group_name_H-M_alt 'I 4/m m m'
_space_group_IT_number 139
_space_group_name_Hall '-I 4 2'
loop_
_atom_site_label
_atom_site_type_symbol
_atom_site_fract_x
_atom_site_fract_y
_atom_site_fract_z
La1 La 0.000 0.000 0.000
Mg1 Mg 0.000 0.500 0.250
Ni1 Ni 0.000 0.000 0.500
# DOS at the Fermi energy = 0.8992 states/eV/atom
# ΔH_f (0 K) = 0.09 eV per atom
# Size of the total moment = 0.0 μB per formula unit
# Calculated volume = 176 Å³/cell
# Calculated total energy = -0.249 Ry per atom

(7)
# SrInCl | Alexandria | PBE-GGA | relaxed
data_SrInCl
_chemical_formula_sum 'Sr2 In2 Cl2'
_cell_length_a 5.272
_cell_length_b 5.272
_cell_length_c 8.473
_cell_angle_alpha 90.00
_cell_angle_beta 108.02
_cell_angle_gamma 90.00
_space_group_name_H-M_alt 'C 1 m 1'
_space_group_IT_number 8
loop_
_space_group_symop_operation_xyz
'x,y,z'
'x,-y,z'
'x+1/2,y+1/2,z'
'x+1/2,-y+1/2,z'
loop_
_atom_site_label
_atom_site_type_symbol
_atom_site_fract_x
_atom_site_fract_y
_atom_site_fract_z
Sr1 Sr 0.000 0.000 0.000
In1 In 0.349 0.000 0.696
Cl1 Cl 0.088 0.500 0.178
# DOS at the Fermi energy = 0.7562 states/eV/atom
# ΔE_f (raw) = -0.97 eV/atom
# Size of the total moment = 0.0 μB per formula unit
# Calculated volume = 224 Å³/cell
# Calculated total energy = -0.225 Ry per atom

(8)
# SbPbCl2 | Alexandria | PBE-GGA | relaxed
data_SbPbCl2
_chemical_formula_sum 'Sb4 Pb4 Cl8'
_cell_length_a 7.386
_cell_length_b 7.386
_cell_length_c 7.386
_cell_angle_alpha 90.00
_cell_angle_beta 90.00
_cell_angle_gamma 90.00
_space_group_name_H-M_alt 'F -4 3 m'
_space_group_IT_number 216
_space_group_name_Hall 'F -4 2 3'
loop_
_atom_site_label
_atom_site_type_symbol
_atom_site_fract_x
_atom_site_fract_y
_atom_site_fract_z
Sb1 Sb 0.000 0.000 0.000
Pb1 Pb 0.250 0.250 0.750
Cl1 Cl 0.000 0.000 0.500
Cl2 Cl 0.250 0.250 0.250
# DOS at the Fermi energy = 1.1644 states/eV/atom
# ΔE_f (raw) = -0.19 eV/atom
# Size of the total moment = 0.0 μB per formula unit
# Calculated volume = 403 Å³/cell
# Calculated total energy = -0.226 Ry per atom

(9)
# CaNdZn | Alexandria | PBE-GGA | relaxed
data_CaNdZn
_chemical_formula_sum 'Ca1 Nd1 Zn1'
_cell_length_a 5.1477
_cell_length_b 5.1477
_cell_length_c 3.8493
_cell_angle_alpha 90.00
_cell_angle_beta 90.00
_cell_angle_gamma 120.00
_space_group_name_H-M_alt 'P 3 m 1'
_space_group_IT_number 156
loop_
_space_group_symop_operation_xyz
'x,y,z'
'-y,x-y,z'
'-x+y,-x,z'
'-y,-x,z'
'-x+y,y,z'
'x,x-y,z'
loop_
_atom_site_label
_atom_site_type_symbol
_atom_site_fract_x
_atom_site_fract_y
_atom_site_fract_z
Ca1 Ca 0.0000 0.0000 0.0000
Nd1 Nd 0.3333 0.6667 0.5325
Zn1 Zn 0.6667 0.3333 0.2464
# DOS at the Fermi energy = 0.9919 states/eV/atom
# ΔH_f (0 K) = 0.01 eV per atom
# Size of the total moment = 0.0 μB per formula unit
# Calculated volume = 88 Å³/cell
# Calculated total energy = -0.197 Ry per atom

(10)
# MgInSb2 | Alexandria | PBE-GGA | relaxed
data_MgInSb2
_chemical_formula_sum 'Mg2 In2 Sb4'
_cell_length_a 6.526
_cell_length_b 7.986
_cell_length_c 4.012
_cell_angle_alpha 90.00
_cell_angle_beta 92.10
_cell_angle_gamma 90.00
_space_group_name_H-M_alt 'C 1 2/m 1'
_space_group_IT_number 12
loop_
_space_group_symop_operation_xyz
'x,y,z'
'-x,-y,-z'
'-x,y,-z'
'x,-y,z'
'x+1/2,y+1/2,z'
'-x+1/2,-y+1/2,-z'
'-x+1/2,y+1/2,-z'
'x+1/2,-y+1/2,z'
loop_
_atom_site_label
_atom_site_type_symbol
_atom_site_fract_x
_atom_site_fract_y
_atom_site_fract_z
Mg1 Mg 0.000 0.000 0.000
In1 In 0.000 0.500 0.000
Sb1 Sb 0.250 0.250 0.500
# DOS at the Fermi energy = 0.4168 states/eV/atom
# ΔE_f (raw) = -0.01 eV/atom
# Size of the total moment = 0.0 μB per formula unit
# Calculated volume = 209 Å³/cell
# Calculated total energy = -0.232 Ry per atom

(11)
# Li4Sn | Alexandria | PBE-GGA | relaxed
data_Li4Sn
_chemical_formula_sum 'Li8 Sn2'
_cell_length_a 4.716
_cell_length_b 5.852
_cell_length_c 7.304
_cell_angle_alpha 90.00
_cell_angle_beta 90.00
_cell_angle_gamma 90.00
_space_group_name_H-M_alt 'I m m m'
_space_group_IT_number 71
_space_group_name_Hall '-I 2 2'
loop_
_atom_site_label
_atom_site_type_symbol
_atom_site_fract_x
_atom_site_fract_y
_atom_site_fract_z
Li1 Li 0.000 0.226 0.179
Sn1 Sn 0.000 0.500 0.500
# DOS at the Fermi energy = 0.0569 states/eV/atom
# ΔH_f (0 K) = -0.22 eV per atom
# Size of the total moment = 0.0 μB per formula unit
# Calculated volume = 202 Å³/cell
# Calculated total energy = -0.187 Ry per atom